Compound: Pr2NiHg
Source: the Alexandria database
Functional: PBE-GGA
Structure: relaxed

## Properties
Formation enthalpy at 0 K   -0.3249 eV per atom
Crystal system   tetragonal
Polymorph energy (0 for the lowest one)   0.0 meV per atom
Calculated total energy   -4.24 eV/atom

Unit cell a=3.615 b=3.615 c=7.755 alpha=90.00 beta=90.00 gamma=90.00
Space group P4/mmm (No. 123)
Inequivalent atoms, fractional coordinates:
Pr (0.000, 0.000, 0.219) (multiplicity 2)
Ni (0.500, 0.500, 0.000) (multiplicity 1)
Hg (0.500, 0.500, 0.500) (multiplicity 1)

Compound: Ba2PrTcO8
Source: the Alexandria database
Functional: PBE-GGA
Structure: relaxed

## Properties
Crystal system   trigonal
ΔE_f (raw)   -39.5 kcal/mol of atoms
Calculated total energy   -6.60 eV/atom

Unit cell a=5.9102 b=5.9102 c=6.4888 alpha=90.00 beta=90.00 gamma=120.00
Space group P-3m1 (No. 164)
Inequivalent atoms, fractional coordinates:
Ba (0.3333, 0.6667, 0.3659) (multiplicity 2)
Pr (0.0000, 0.0000, 0.0000) (multiplicity 1)
Tc (0.0000, 0.0000, 0.5000) (multiplicity 1)
O (0.1477, 0.2953, 0.6781) (multiplicity 6)
O (0.3333, 0.6667, 0.0093) (multiplicity 2)

Compound: LiHgCl2
Source: the Alexandria database
Functional: PBE-GGA
Structure: relaxed

## Properties
Crystal system   trigonal
ΔE_f (raw)   -21.4 kcal/mol of atoms
Polymorph energy (0 for the lowest one)   24.1 meV per atom
Calculated total energy   -2.41 eV/atom

Unit cell a=3.7126 b=3.7126 c=24.1996 alpha=90.00 beta=90.00 gamma=120.00
Space group R-3m (No. 166, hexagonal axes)
Inequivalent atoms, fractional coordinates:
Li (0.0000, 0.0000, 0.0000) (multiplicity 3)
Hg (0.0000, 0.0000, 0.5000) (multiplicity 3)
Cl (0.0000, 0.0000, 0.3903) (multiplicity 6)

Compound: Cr2NiHg2S6
Source: the Alexandria database
Functional: PBE-GGA
Structure: relaxed

## Properties
Crystal system   monoclinic
ΔE_f (raw)   -8.3 kcal/mol of atoms
Calculated total energy   -4.94 eV/atom

Unit cell a=5.738 b=9.966 c=9.028 alpha=90.00 beta=103.67 gamma=90.00
Space group C2/m (No. 12)
Inequivalent atoms, fractional coordinates:
Cr (0.000, 0.151, 0.000) (multiplicity 4)
Ni (0.000, 0.500, 0.000) (multiplicity 2)
Hg (0.000, 0.252, 0.500) (multiplicity 4)
S (0.101, 0.334, 0.855) (multiplicity 8)
S (0.123, 0.000, 0.840) (multiplicity 4)

Compound: Zn2HPd2
Source: the Alexandria database
Functional: PBE-GGA
Structure: relaxed

## Properties
Crystal system   tetragonal
Polymorph energy (0 for the lowest one)   573.0 meV per atom
Calculated total energy   -2.88 eV/atom

Unit cell a=3.707 b=3.707 c=12.247 alpha=90.00 beta=90.00 gamma=90.00
Space group I4/mmm (No. 139)
Inequivalent atoms, fractional coordinates:
Zn (0.000, 0.000, 0.099) (multiplicity 4)
H (0.000, 0.000, 0.500) (multiplicity 2)
Pd (0.000, 0.500, 0.250) (multiplicity 4)

Compound: NdSc2Ga6
Source: the Alexandria database
Functional: PBE-GGA
Structure: relaxed

## Properties
Formation enthalpy at 0 K   -0.5049 eV per atom
Crystal system   orthorhombic
Polymorph energy (0 for the lowest one)   37.1 meV per atom
Calculated total energy   -4.46 eV/atom

Unit cell a=4.217 b=6.988 c=12.662 alpha=90.00 beta=90.00 gamma=90.00
Space group Immm (No. 71)
Inequivalent atoms, fractional coordinates:
Nd (0.000, 0.000, 0.000) (multiplicity 2)
Sc (0.000, 0.500, 0.122) (multiplicity 4)
Ga (0.000, 0.179, 0.500) (multiplicity 4)
Ga (0.000, 0.302, 0.310) (multiplicity 8)

Q: calculated total energy of number 3 (LiHgCl2)?
A: -2.41 eV/atom

Q: The lowest calculated total energy belongs to which entry?
A: Ba2PrTcO8